Model a:
ScTcAg3: relaxed, GGA-PBEsol.

```
ScTcAg3
1.0
4.8562 0.0000 0.0000
0.0000 4.8562 0.0000
0.0000 0.0000 4.8562
Ag Sc Tc
3 1 1
Direct
0.0000 0.0000 0.5000 Ag
0.0000 0.5000 0.0000 Ag
0.5000 0.0000 0.0000 Ag
0.5000 0.5000 0.5000 Sc
0.0000 0.0000 0.0000 Tc
```

The calculation puts the density at 6765 kg/m³.

---

Model b:
ScTcAg3: relaxed, GGA-PBEsol.

```
ScTcAg3
1.0
4.7845 0.0000 0.0000
0.0000 4.7845 0.0000
0.0000 0.0000 4.7845
Sc Ag Tc
1 3 1
Direct
0.0000 0.0000 0.0000 Sc
0.0000 0.0000 0.5000 Ag
0.0000 0.5000 0.0000 Ag
0.5000 0.0000 0.0000 Ag
0.5000 0.5000 0.5000 Tc
```

The calculation puts the density at 7074 kg/m³.

---

Quick one: most stable of them? model a

---

Model a:
ScTc2Ag: relaxed, GGA-PBEsol.

```
ScTc2Ag
1.0
2.8663 0.0000 0.0337
0.0000 3.9914 0.0000
-0.7820 0.0000 5.6419
Tc Sc Ag
2 1 1
Direct
0.0271 0.0000 0.0302 Tc
0.4324 0.5000 0.2076 Tc
0.5510 0.5000 0.7598 Sc
0.9895 0.0000 0.5024 Ag
```

The calculation puts the density at 8959 kg/m³.

---

Model b:
ScTc2Ag: relaxed, GGA-PBEsol.

```
ScTc2Ag
1.0
-2.4775 -2.3382 2.8895
-2.0033 -3.7698 -1.3153
1.4545 -3.9455 1.5073
Sc Tc Ag
1 2 1
Direct
0.5000 0.5000 0.5000 Sc
0.7500 0.7500 0.7500 Tc
0.2500 0.2500 0.2500 Tc
0.0000 0.0000 0.0000 Ag
```

The calculation puts the density at 9190 kg/m³.

---

Model c:
ScTc2Ag: relaxed, GGA-PBEsol.

```
ScTc2Ag
1.0
-0.5390 2.6292 0.2425
-3.1743 -1.1156 -3.8226
-1.4695 -1.7194 4.8330
Tc Ag Sc
2 1 1
Direct
0.0000 0.0000 0.5000 Tc
0.5000 0.5000 0.5000 Tc
0.0000 0.5000 0.0000 Ag
0.5000 0.0000 0.0000 Sc
```

The calculation puts the density at 9271 kg/m³.

---

Model d:
ScTc2Ag: relaxed, GGA-PBEsol.

```
ScTc2Ag
1.0
-1.3521 -3.2158 -1.4939
3.4262 -1.5968 0.3362
-1.0455 -1.4065 3.9740
Tc Sc Ag
2 1 1
Direct
0.0000 0.5000 0.0000 Tc
0.5000 0.0000 0.0000 Tc
0.0000 0.0000 0.5000 Sc
0.5000 0.5000 0.5000 Ag
```

The calculation puts the density at 9261 kg/m³.

---

Quick one: most stable of them? model a

---

Model a:
ScAgW2: relaxed, GGA-PBEsol.

```
ScAgW2
1.0
3.2627 0.0000 0.0000
0.0000 4.3318 0.0000
0.0000 0.0000 4.7301
W Ag Sc
2 1 1
Direct
0.0000 0.0000 0.0000 W
0.5000 0.5000 0.0000 W
0.5000 0.0000 0.5000 Ag
0.0000 0.5000 0.5000 Sc
```

The calculation puts the density at 12929 kg/m³.

---

Model b:
ScAgW2: relaxed, GGA-PBEsol.

```
ScAgW2
1.0
2.8249 0.0000 0.0000
1.4124 2.4464 0.0000
1.4124 0.8155 9.7893
W Sc Ag
2 1 1
Direct
0.2486 0.2486 0.2542 W
0.7514 0.7514 0.7458 W
0.0000 0.0000 0.0000 Sc
0.5000 0.5000 0.5000 Ag
```

The calculation puts the density at 12776 kg/m³.

---

Quick one: most stable of them? model a

---

Model a:
YScAg2: relaxed, GGA-PBEsol.

```
YScAg2
1.0
3.5027 0.0000 0.0000
0.0000 4.9108 0.0000
0.0000 0.0000 4.9115
Ag Sc Y
2 1 1
Direct
0.0000 0.5000 0.6260 Ag
0.0000 0.0000 0.1235 Ag
0.5000 0.0000 0.6247 Sc
0.5000 0.5000 0.1258 Y
```

The calculation puts the density at 6871 kg/m³.

---

Model b:
YScAg2: relaxed, GGA-PBEsol.

```
YScAg2
1.0
-2.1641 3.8853 -2.1197
-4.7776 0.8985 0.7994
-1.3551 3.8637 2.7400
Y Sc Ag
1 1 2
Direct
0.5000 0.5000 0.5000 Y
0.0000 0.0000 0.0000 Sc
0.7500 0.7500 0.7500 Ag
0.2500 0.2500 0.2500 Ag
```

The calculation puts the density at 6866 kg/m³.

---

Quick one: most stable of them? model b

---

Model a:
ScZn2Ag: relaxed, GGA-PBEsol.

```
ScZn2Ag
1.0
-2.9250 0.7895 -0.2245
-0.5658 -0.9428 4.0559
2.6814 4.4926 1.4183
Ag Sc Zn
1 1 2
Direct
0.0783 0.0000 0.1567 Ag
0.4156 0.5000 0.8313 Sc
0.6822 0.5000 0.3645 Zn
0.8103 0.0000 0.6205 Zn
```

The calculation puts the density at 7090 kg/m³.

---

Model b:
ScZn2Ag: relaxed, GGA-PBEsol.

```
ScZn2Ag
1.0
4.4862 0.0000 0.0000
-2.2431 3.9118 0.0295
0.0000 2.5446 3.6947
Ag Sc Zn
1 1 2
Direct
0.2500 0.5000 0.2500 Ag
0.0000 0.0000 0.0000 Sc
0.7500 0.5000 0.7500 Zn
0.5000 0.0000 0.5000 Zn
```

The calculation puts the density at 7302 kg/m³.

---

Quick one: most stable of them? model b

---

Model a:
ScZn2Ag: relaxed, GGA-PBEsol.

```
ScZn2Ag
1.0
3.1437 0.0000 0.0000
0.0000 3.1437 0.0000
0.0000 0.0000 6.6447
Zn Sc Ag
2 1 1
Direct
0.5000 0.5000 0.2405 Zn
0.0000 0.0000 0.0283 Zn
0.5000 0.5000 0.7574 Sc
0.0000 0.0000 0.4738 Ag
```

The calculation puts the density at 7173 kg/m³.

---

Model b:
ScZn2Ag: relaxed, GGA-PBEsol.

```
ScZn2Ag
1.0
4.4832 0.0000 0.0000
2.2416 3.8825 0.0000
2.2416 1.2942 3.6605
Ag Zn Sc
1 2 1
Direct
0.5000 0.5000 0.5000 Ag
0.2500 0.2500 0.2500 Zn
0.7500 0.7500 0.7500 Zn
0.0000 0.0000 0.0000 Sc
```

The calculation puts the density at 7392 kg/m³.

---

Quick one: most stable of them? model b